Nb2CoF: relaxed, PBE+U.

Geometry as POSCAR:
```
Nb2CoF
1.0
0.000 3.056 3.056
3.056 0.000 3.056
3.056 3.056 0.000
Nb Co F
2 1 1
direct
0.250 0.250 0.250
0.750 0.750 0.750
0.500 0.500 0.500
0.000 0.000 0.000
```

Energy above the lowest structure with this stoichiometry, meV/atom: 0.0

***

NbCoOF2: relaxed, PBE+U.

Geometry as POSCAR:
```
NbCoOF2
1.0
4.268 0.000 0.000
0.000 4.268 0.000
0.000 0.000 3.956
Nb Co O F
1 1 1 2
direct
0.000 0.000 0.000
0.500 0.500 0.500
0.000 0.000 0.500
0.000 0.500 0.000
0.500 0.000 0.000
```

Energy above the lowest structure with this stoichiometry, meV/atom: 0.0

***

NbCoOF2: relaxed, PBE+U.

Geometry as POSCAR:
```
NbCoOF2
1.0
-1.117 3.008 2.231
-1.201 -2.493 2.760
3.542 0.103 1.634
Nb Co O F
1 1 1 2
direct
0.500 0.500 0.500
0.000 0.000 0.000
0.000 0.000 0.500
0.000 0.500 0.000
0.500 0.000 0.000
```

Energy above the lowest structure with this stoichiometry, meV/atom: 459.8

***

NbCoPF2: relaxed, PBE+U.

Geometry as POSCAR:
```
NbCoPF2
1.0
-2.412 1.987 -2.423
3.165 -1.012 -3.980
-1.998 -3.331 -0.742
P Nb Co F
1 1 1 2
direct
0.500 0.500 0.500
0.000 0.000 0.000
0.000 0.500 0.000
0.000 0.000 0.500
0.500 0.000 0.000
```

Raw total energy, eV per formula unit: -27.3